[1]
DFT (GGA-PBE) results for a relaxed structure of Ac6S8Cl.

Raw total energy   -6.090 eV per atom
Uncorrected formation energy   -31.83 eV per formula unit

Geometry as CIF:
```
data_Ac6S8Cl
_chemical_formula_sum 'Ac18 S24 Cl3'
_cell_length_a 8.8466
_cell_length_b 8.8466
_cell_length_c 18.9199
_cell_angle_alpha 90.00
_cell_angle_beta 90.00
_cell_angle_gamma 120.00
_symmetry_space_group_name_H-M 'R -3'
_symmetry_Int_Tables_number 148
_symmetry_space_group_name_Hall '-R 3'
loop_
_atom_site_label
_atom_site_fract_x
_atom_site_fract_y
_atom_site_fract_z
Ac1 0.0031 0.6541 0.4238
S1 0.0000 0.0000 0.1679
S2 0.0031 0.6808 0.5999
Cl1 0.0000 0.0000 0.5000
```

***

[2]
DFT (GGA-PBE) results for a relaxed structure of AcS5Cl.

Raw total energy   -4.606 eV per atom
Uncorrected formation energy   -5.65 eV per formula unit

Geometry as CIF:
```
data_AcS5Cl
_chemical_formula_sum 'Ac2 S10 Cl2'
_cell_length_a 5.146
_cell_length_b 22.034
_cell_length_c 4.549
_cell_angle_alpha 90.00
_cell_angle_beta 119.03
_cell_angle_gamma 90.00
_symmetry_space_group_name_H-M 'C 1 2 1'
_symmetry_Int_Tables_number 5
loop_
_symmetry_equiv_pos_as_xyz
'x,y,z'
'-x,y,-z'
'x+1/2,y+1/2,z'
'-x+1/2,y+1/2,-z'
loop_
_atom_site_label
_atom_site_fract_x
_atom_site_fract_y
_atom_site_fract_z
Ac1 0.000 0.000 0.000
S1 0.000 0.723 0.000
S2 0.073 0.439 0.317
S3 0.157 0.780 0.418
Cl1 0.000 0.086 0.500
```

***

[3]
DFT (GGA-PBE) results for a relaxed structure of Ac2SCl.

Raw total energy   -4.933 eV per atom
Polymorph energy (0 for the lowest one)   0.306 eV per atom
Uncorrected formation energy   -5.54 eV per formula unit

Geometry as CIF:
```
data_Ac2SCl
_chemical_formula_sum 'Ac8 S4 Cl4'
_cell_length_a 7.513
_cell_length_b 7.513
_cell_length_c 7.513
_cell_angle_alpha 90.00
_cell_angle_beta 90.00
_cell_angle_gamma 90.00
_symmetry_space_group_name_H-M 'F m -3 m'
_symmetry_Int_Tables_number 225
_symmetry_space_group_name_Hall '-F 4 2 3'
loop_
_atom_site_label
_atom_site_fract_x
_atom_site_fract_y
_atom_site_fract_z
Ac1 0.250 0.250 0.250
S1 0.000 0.000 0.000
Cl1 0.000 0.000 0.500
```